Here is an optimized crystal structure of LiAc2PuS5 from Alexandria via LeMat-Bulk. Energies are from PBE-GGA.

Cell and atoms, written as POSCAR:
```
LiAc2PuS5
1.0
-1.6122 3.7410 -0.8924
-5.3425 -5.6089 -4.1179
-7.0162 -0.6432 9.9788
Pu S Ac Li
2 10 4 2
Cartesian
-2.4649 -1.4846 -1.7707 Pu
-8.0524 -0.7099 1.8274 Pu
-10.3212 -1.8800 1.0209 S
-8.1662 -2.5928 3.8836 S
-6.0141 0.5169 3.2883 S
-4.4697 0.2040 -0.8138 S
-6.2458 -2.5192 0.7228 S
-6.3037 1.3638 7.3613 S
-8.1275 -3.9171 -1.7381 S
-9.1686 -0.1243 6.2988 S
-1.0071 -0.3889 0.1892 S
-4.4551 -2.7071 -3.3000 S
-3.6509 -1.1263 1.8741 Ac
-6.1706 -1.2650 5.8445 Ac
-11.0475 -1.4516 4.1292 Ac
-6.9084 -1.1644 -2.1445 Ac
-7.8959 1.1067 9.1603 Li
-9.2896 -3.9126 0.3802 Li
```

Properties
Uncorrected formation energy (kcal/mol of atoms): -43.26
Mass density (kg/m3): 6620

***

Here is an optimized crystal structure of Pm8Sm6Y from Alexandria via LeMat-Bulk. Energies are from PBE-GGA.

Cell and atoms, written as POSCAR:
```
Pm8Sm6Y
1.0
-1.7352 4.3273 4.7551
-0.3033 -7.0823 6.3344
8.0959 4.7830 -1.3983
Pm Sm Y
8 6 1
Cartesian
5.2242 -2.7509 5.9189 Pm
1.6953 -0.0904 2.2100 Pm
4.3620 2.1183 7.4812 Pm
-0.2726 -4.4398 5.4499 Pm
2.3016 -2.6414 4.2906 Pm
3.7557 4.6693 5.4005 Pm
0.8331 4.7788 3.7723 Pm
6.3299 6.4677 4.2413 Pm
3.1824 -0.9076 8.1214 Sm
1.5250 1.4414 5.3790 Sm
-0.6422 -1.3769 7.1528 Sm
4.5323 0.5865 4.3122 Sm
6.6995 3.4048 2.5383 Sm
2.8749 2.9355 1.5697 Sm
-0.8676 2.1636 2.3776 Y
```

Properties
Energy relative to the lowest polymorph listed for this composition (kcal/mol of atoms): 1.13
Energy relative to the elements (eV per formula unit): 2.49
Mass density (kg/m3): 6853

***

Here is an optimized crystal structure of RbPmPO4 from Alexandria via LeMat-Bulk. Energies are from PBE-GGA.

Cell and atoms, written as POSCAR:
```
RbPmPO4
1.0
-6.0102 -0.3034 -1.4801
-2.7806 -5.5107 -0.5530
-4.1456 -1.8175 4.2327
O Rb P Pm
4 1 1 1
Cartesian
-7.0054 -3.7625 3.2703 O
-4.5622 -2.6914 0.7757 O
-6.2010 -5.9391 0.4499 O
-8.1043 -2.8702 -0.0965 O
-9.7023 -5.7237 1.6498 Rb
-3.2341 -1.9079 0.5499 P
-6.4682 -3.8158 1.0998 Pm
```

Properties
Uncorrected formation energy (kcal/mol of atoms): -52.38
Mass density (kg/m3): 3211

***

Here is an optimized crystal structure of K2YRe from Alexandria via LeMat-Bulk. Energies are from PBE-GGA.

Cell and atoms, written as POSCAR:
```
K2YRe
1.0
-0.2804 2.8861 -0.8203
-2.6753 -1.3805 -0.1352
-2.3242 3.2925 12.3784
K Re Y
2 1 1
Cartesian
-1.0854 1.5376 5.7808 K
-0.0767 0.1086 0.4084 K
-2.0589 1.5760 2.6169 Re
-3.2210 3.2222 8.8061 Y
```

Properties
Energy relative to the lowest polymorph listed for this composition (kcal/mol of atoms): 12.72
Energy relative to the elements (eV per formula unit): 5.33
Mass density (kg/m3): 5285